# 1
This record from Alexandria via LeMat-Bulk describes an optimized crystal structure of Tb8P3CS4. The functional is PBE-GGA.

Results
E_form (uncorrected) = -1.72 eV per atom
DOS at the Fermi energy = 3.189 states/eV per cell

Unit cell a=7.9023 b=7.9023 c=7.9023 alpha=59.74 beta=59.74 gamma=59.74
Closest atoms and distances in Å follow each position.
Atoms (fractional coordinates):
Tb1 0.2476 0.2476 0.2476  3 P 2.76, 3 S 2.82
Tb2 0.2623 0.7336 0.7336  1 C 2.61, 2 P 2.77, 2 S 2.82
Tb3 0.2664 0.2664 0.7377  1 C 2.61, 2 P 2.77, 2 S 2.82
Tb4 0.2664 0.7377 0.2664  1 C 2.61, 2 P 2.77, 2 S 2.82
Tb5 0.7336 0.2623 0.7336  1 C 2.61, 2 P 2.77, 2 S 2.82
Tb6 0.7336 0.7336 0.2623  1 C 2.61, 2 P 2.77, 2 S 2.82
Tb7 0.7377 0.2664 0.2664  1 C 2.61, 2 P 2.77, 2 S 2.82
Tb8 0.7524 0.7524 0.7524  3 P 2.76, 3 S 2.82
P1 0.0000 0.0000 0.5000  6 Tb 2.76-2.77
P2 0.0000 0.5000 0.0000  6 Tb 2.76-2.77
P3 0.5000 0.0000 0.0000  6 Tb 2.76-2.77
C1 0.5000 0.5000 0.5000  6 Tb 2.61
S1 0.0000 0.0000 0.0000  6 Tb 2.97
S2 0.0000 0.5000 0.5000  6 Tb 2.82
S3 0.5000 0.0000 0.5000  6 Tb 2.82
S4 0.5000 0.5000 0.0000  6 Tb 2.82


# 2
This record from Alexandria via LeMat-Bulk describes an optimized crystal structure of BaAgSe. The functional is PBE-GGA.

Results
distance to the lowest polymorph of the same formula = 0.62 eV per formula unit
E_form (uncorrected) = -0.86 eV per atom
DOS at the Fermi energy = 1.751 states/eV per cell

Unit cell a=4.7779 b=4.7779 c=4.5260 alpha=90.00 beta=90.00 gamma=120.00
Closest atoms and distances in Å follow each position.
Atoms (fractional coordinates):
Ba1 0.0000 0.0000 0.0000  6 Se 3.57, 6 Ag 3.57
Ag1 0.3333 0.6667 0.5000  3 Se 2.76
Se1 0.6667 0.3333 0.5000  3 Ag 2.76


- Among the records above, which one has the highest E_form (uncorrected)?
  BaAgSe


Copy entry 2 word for word.
This record from Alexandria via LeMat-Bulk describes an optimized crystal structure of BaAgSe. The functional is PBE-GGA.

Results
distance to the lowest polymorph of the same formula = 0.62 eV per formula unit
E_form (uncorrected) = -0.86 eV per atom
DOS at the Fermi energy = 1.751 states/eV per cell

Unit cell a=4.7779 b=4.7779 c=4.5260 alpha=90.00 beta=90.00 gamma=120.00
Closest atoms and distances in Å follow each position.
Atoms (fractional coordinates):
Ba1 0.0000 0.0000 0.0000  6 Se 3.57, 6 Ag 3.57
Ag1 0.3333 0.6667 0.5000  3 Se 2.76
Se1 0.6667 0.3333 0.5000  3 Ag 2.76


What did the first record say?
This record from Alexandria via LeMat-Bulk describes an optimized crystal structure of Tb8P3CS4. The functional is PBE-GGA.

Results
E_form (uncorrected) = -1.72 eV per atom
DOS at the Fermi energy = 3.189 states/eV per cell

Unit cell a=7.9023 b=7.9023 c=7.9023 alpha=59.74 beta=59.74 gamma=59.74
Closest atoms and distances in Å follow each position.
Atoms (fractional coordinates):
Tb1 0.2476 0.2476 0.2476  3 P 2.76, 3 S 2.82
Tb2 0.2623 0.7336 0.7336  1 C 2.61, 2 P 2.77, 2 S 2.82
Tb3 0.2664 0.2664 0.7377  1 C 2.61, 2 P 2.77, 2 S 2.82
Tb4 0.2664 0.7377 0.2664  1 C 2.61, 2 P 2.77, 2 S 2.82
Tb5 0.7336 0.2623 0.7336  1 C 2.61, 2 P 2.77, 2 S 2.82
Tb6 0.7336 0.7336 0.2623  1 C 2.61, 2 P 2.77, 2 S 2.82
Tb7 0.7377 0.2664 0.2664  1 C 2.61, 2 P 2.77, 2 S 2.82
Tb8 0.7524 0.7524 0.7524  3 P 2.76, 3 S 2.82
P1 0.0000 0.0000 0.5000  6 Tb 2.76-2.77
P2 0.0000 0.5000 0.0000  6 Tb 2.76-2.77
P3 0.5000 0.0000 0.0000  6 Tb 2.76-2.77
C1 0.5000 0.5000 0.5000  6 Tb 2.61
S1 0.0000 0.0000 0.0000  6 Tb 2.97
S2 0.0000 0.5000 0.5000  6 Tb 2.82
S3 0.5000 0.0000 0.5000  6 Tb 2.82
S4 0.5000 0.5000 0.0000  6 Tb 2.82


Copy entry 2 word for word.
This record from Alexandria via LeMat-Bulk describes an optimized crystal structure of BaAgSe. The functional is PBE-GGA.

Results
distance to the lowest polymorph of the same formula = 0.62 eV per formula unit
E_form (uncorrected) = -0.86 eV per atom
DOS at the Fermi energy = 1.751 states/eV per cell

Unit cell a=4.7779 b=4.7779 c=4.5260 alpha=90.00 beta=90.00 gamma=120.00
Closest atoms and distances in Å follow each position.
Atoms (fractional coordinates):
Ba1 0.0000 0.0000 0.0000  6 Se 3.57, 6 Ag 3.57
Ag1 0.3333 0.6667 0.5000  3 Se 2.76
Se1 0.6667 0.3333 0.5000  3 Ag 2.76